A.
AlGeH (PBE, relaxed); DOS(E_F) = 0.1134 states/eV/atom; crystal system = monoclinic
1.0
4.068 -1.500 0.000
4.068 1.500 0.000
-0.900 0.000 7.281
Al Ge H
2 2 2
direct
0.242 0.242 0.323
0.758 0.758 0.677
0.498 0.498 0.833
0.502 0.502 0.167
0.154 0.154 0.535
0.846 0.846 0.465



B.
AlGeH (PBE, relaxed); DOS(E_F) = 0.1502 states/eV/atom; crystal system = triclinic
1.0
2.923 0.000 0.000
0.000 3.948 0.000
-1.062 -0.325 10.225
Al Ge H
2 2 2
direct
0.000 0.000 0.000
0.446 0.488 0.852
0.544 0.510 0.123
0.899 0.978 0.729
0.181 0.458 0.475
0.293 0.466 0.413



C.
AlGeH (PBE, relaxed); DOS(E_F) = 0.1974 states/eV/atom; crystal system = orthorhombic
1.0
3.074 0.000 0.000
0.000 4.503 0.000
0.000 0.000 6.229
Al Ge H
2 2 2
direct
0.250 0.250 0.212
0.750 0.750 0.788
0.250 0.250 0.782
0.750 0.750 0.218
0.250 0.250 0.505
0.750 0.750 0.495



What is the most stable structure shown above? It is A.